The following is a PBE calculation of Pu3Ga4Au2 after structural relaxation, from Alexandria via LeMat-Bulk.

Lattice parameters (Å, degrees): 10.397 4.738 8.747 90.00 121.44 90.00
Space group C2/m (No. 12)
Unique sites:
Pu 0.000 0.000 0.000 (multiplicity 2)
Pu 0.163 0.500 0.667 (multiplicity 4)
Ga 0.047 0.000 0.379 (multiplicity 4)
Ga 0.238 0.500 0.070 (multiplicity 4)
Au 0.118 0.500 0.283 (multiplicity 4)

Output
E above lowest polymorph = 0 meV per atom
DFT total energy = -7.31 eV per atom
Calculated volume = 20.4 Å³ per atom
Calculated formation energy = -0.457 eV per atom
Crystal system = monoclinic